CsIrCl4 | Alexandria via LeMat-Bulk | GGA-PBE | optimized geometry; formation energy from raw total energies = -0.984 eV per atom; theoretical density = 3.363 g/cm3; magnetic moment = 0.0 μB per formula unit; symmetry = No. 15
1.0
-2.447 -5.324 -2.244
10.343 -0.470 2.108
-5.504 0.608 7.196
Cl Cs Ir
8 2 2
direct
0.031 0.421 0.607
0.325 0.483 0.169
0.675 0.517 0.831
0.155 0.814 0.831
0.969 0.579 0.393
0.425 0.314 0.393
0.575 0.686 0.607
0.845 0.186 0.169
0.546 0.796 0.092
0.454 0.204 0.908
0.194 0.444 0.388
0.806 0.556 0.612

---

Pm2ZrSn2 | Alexandria via LeMat-Bulk | GGA-PBE | optimized geometry; formation energy = -2.19 eV/f.u.; theoretical density = 6.595 g/cm3; magnetic moment = 0.0 μB per formula unit; symmetry = No. 72
1.0
-6.139 0.490 -0.931
-1.222 0.025 8.068
4.160 5.853 -3.515
Pm Zr Sn
4 2 4
direct
0.349 0.001 0.699
0.849 0.698 0.699
0.651 0.999 0.301
0.151 0.302 0.301
0.250 0.500 0.000
0.750 0.500 0.000
0.106 0.870 0.212
0.894 0.130 0.788
0.394 0.658 0.788
0.606 0.342 0.212